SiSbCl2 | PBE | optimized geometry

Cell: 12.2638 12.2638 12.2638 Å, 16.53 16.53 16.53°
Last column: nearest neighbours and their distance in Å.
Atoms (fractional coordinates):
1 Si 0.0000 0.0000 0.0000  6 Cl 2.59
2 Sb 0.5000 0.5000 0.5000  6 Sb 3.52
3 Cl 0.2890 0.2890 0.2890  3 Si 2.59
4 Cl 0.7110 0.7110 0.7110  3 Si 2.59

energy relative to the lowest polymorph listed for this composition = 1.69 eV/f.u.
size of the total moment = 0.3 Bohr magnetons per cell
SG = No. 166